(1)
# Rb2Hg2TeH2 PBE optimized geometry
data_Rb2Hg2TeH2
_chemical_formula_sum 'Rb4 Hg4 Te2 H4'
_symmetry_space_group_name_H-M 'C 1 2/m 1'
_symmetry_Int_Tables_number 12
_cell_length_a 10.515
_cell_length_b 5.872
_cell_length_c 7.715
_cell_angle_alpha 90.00
_cell_angle_beta 100.24
_cell_angle_gamma 90.00
loop_
_symmetry_equiv_pos_as_xyz
'x,y,z'
'-x,-y,-z'
'-x,y,-z'
'x,-y,z'
'x+1/2,y+1/2,z'
'-x+1/2,-y+1/2,-z'
'-x+1/2,y+1/2,-z'
'x+1/2,-y+1/2,z'
loop_
_atom_site_label
_atom_site_fract_x
_atom_site_fract_y
_atom_site_fract_z
Rb1 0.198 0.000 0.170
Hg1 0.100 0.500 0.413
Te1 0.000 0.500 0.000
H1 0.237 0.000 0.608
# Total magnetization, μB per formula unit: 0.0
# E, eV/atom: -2.022

(2)
# InFeCo2Ni PBE optimized geometry
data_InFeCo2Ni
_chemical_formula_sum 'In1 Fe1 Co2 Ni1'
_symmetry_space_group_name_H-M 'P 4/m m m'
_symmetry_Int_Tables_number 123
_symmetry_space_group_name_Hall '-P 4 2'
_cell_length_a 4.303
_cell_length_b 4.303
_cell_length_c 4.312
_cell_angle_alpha 90.00
_cell_angle_beta 90.00
_cell_angle_gamma 90.00
loop_
_atom_site_label
_atom_site_fract_x
_atom_site_fract_y
_atom_site_fract_z
In1 0.000 0.000 0.000
Fe1 0.500 0.500 0.000
Co1 0.000 0.500 0.500
Ni1 0.500 0.500 0.500
# Formation energy from the elements, meV per atom: 825
# Total magnetization, μB per formula unit: 7.1

(3)
# KPmPuO4 PBE optimized geometry
data_KPmPuO4
_chemical_formula_sum 'K4 Pm4 Pu4 O16'
_symmetry_space_group_name_H-M 'I m m a'
_symmetry_Int_Tables_number 74
_symmetry_space_group_name_Hall '-I 2b 2'
_cell_length_a 7.101
_cell_length_b 7.271
_cell_length_c 10.142
_cell_angle_alpha 90.00
_cell_angle_beta 90.00
_cell_angle_gamma 90.00
loop_
_atom_site_label
_atom_site_fract_x
_atom_site_fract_y
_atom_site_fract_z
K1 0.000 0.250 0.122
Pm1 0.000 0.000 0.500
Pu1 0.250 0.250 0.750
O1 0.000 0.055 0.734
O2 0.212 0.250 0.533
# Total magnetization, μB per formula unit: 4.0
# ΔE_f (raw), eV/atom: -2.81

(4)
# LaCoSbP2 PBE optimized geometry
data_LaCoSbP2
_chemical_formula_sum 'La1 Co1 Sb1 P2'
_symmetry_space_group_name_H-M 'P 4/m m m'
_symmetry_Int_Tables_number 123
_symmetry_space_group_name_Hall '-P 4 2'
_cell_length_a 5.153
_cell_length_b 5.153
_cell_length_c 4.544
_cell_angle_alpha 90.00
_cell_angle_beta 90.00
_cell_angle_gamma 90.00
loop_
_atom_site_label
_atom_site_fract_x
_atom_site_fract_y
_atom_site_fract_z
La1 0.000 0.000 0.000
Co1 0.500 0.500 0.000
Sb1 0.500 0.500 0.500
P1 0.000 0.500 0.500
# Total magnetization, μB per formula unit: 1.1
# ΔE_f (raw), eV/atom: 0.23

What did the third record say?
# KPmPuO4 PBE optimized geometry
data_KPmPuO4
_chemical_formula_sum 'K4 Pm4 Pu4 O16'
_symmetry_space_group_name_H-M 'I m m a'
_symmetry_Int_Tables_number 74
_symmetry_space_group_name_Hall '-I 2b 2'
_cell_length_a 7.101
_cell_length_b 7.271
_cell_length_c 10.142
_cell_angle_alpha 90.00
_cell_angle_beta 90.00
_cell_angle_gamma 90.00
loop_
_atom_site_label
_atom_site_fract_x
_atom_site_fract_y
_atom_site_fract_z
K1 0.000 0.250 0.122
Pm1 0.000 0.000 0.500
Pu1 0.250 0.250 0.750
O1 0.000 0.055 0.734
O2 0.212 0.250 0.533
# Total magnetization, μB per formula unit: 4.0
# ΔE_f (raw), eV/atom: -2.81